DFT (GGA-PBE) results for a relaxed NpAsOs crystal.

The value obtained for the total magnetic moment is 5.45 Bohr magnetons per cell. For the total energy, the calculation gives -9.57 eV/atom. The energy relative to the elements comes out at 0.04 eV/atom.

The structure belongs to space group P-1 (No. 2); the cell edges are 3.045, 4.216 and 10.052 Å and the angles 78.18°, 89.93° and 89.76°. The inequivalent atoms are Np at (0.250, 0.105, 0.279), As at (0.250, 0.321, 0.873) and Os at (0.250, 0.451, 0.607).

DFT (GGA-PBE) results for a relaxed LiAlGa6 crystal.

The value obtained for the total magnetic moment is 0.00 Bohr magnetons per cell. For the total energy, the calculation gives -2.99 eV/atom. The value obtained for the distance to the lowest polymorph of the same formula is 0.063 eV per atom. The energy relative to the elements comes out at -0.01 eV/atom.

The structure belongs to space group C2/m (No. 12); the cell edges are 5.113, 7.231 and 8.142 Å and the angles 90.00°, 95.92° and 90.00°. The inequivalent atoms are Li at (0.000, 0.000, 0.000), Al at (0.000, 0.500, 0.500), Ga at (0.024, 0.000, 0.658) and Ga at (0.035, 0.320, 0.825).

DFT (GGA-PBE) results for a relaxed LiHg2SbTe4 crystal.

The value obtained for the total magnetic moment is 0.00 Bohr magnetons per cell. The value obtained for the uncorrected formation energy is -0.225 eV per atom. For the total energy, the calculation gives -2.63 eV/atom.

The structure belongs to space group I-42m (No. 121); the cell edges are 6.632, 6.632 and 13.452 Å and the angles 90.00°, 90.00° and 90.00°. The inequivalent atoms are Li at (0.000, 0.000, 0.000), Hg at (0.000, 0.500, 0.250), Sb at (0.000, 0.000, 0.500) and Te at (0.235, 0.235, 0.875).

DFT (GGA-PBE) results for a relaxed LiHfZnAg crystal.

The value obtained for the total magnetic moment is 0.00 Bohr magnetons per cell. For the total energy, the calculation gives -4.04 eV/atom. The energy relative to the elements comes out at -0.05 eV/atom.

The structure belongs to space group F-43m (No. 216); the cell edges are 6.507, 6.507 and 6.507 Å and the angles 90.00°, 90.00° and 90.00°. The inequivalent atoms are Li at (0.000, 0.000, 0.000), Hf at (0.000, 0.000, 0.500), Zn at (0.250, 0.250, 0.250) and Ag at (0.250, 0.250, 0.750).

DFT (GGA-PBE) results for a relaxed CsSrH2Rh crystal.

The value obtained for the total magnetic moment is 0.00 Bohr magnetons per cell. For the total energy, the calculation gives -2.76 eV/atom.

The structure belongs to space group P4/mmm (No. 123); the cell edges are 4.528, 4.528 and 5.184 Å and the angles 90.00°, 90.00° and 90.00°. The inequivalent atoms are Cs at (0.000, 0.000, 0.000), Sr at (0.500, 0.500, 0.000), H at (0.000, 0.500, 0.500) and Rh at (0.500, 0.500, 0.500).

DFT (GGA-PBE) results for a relaxed SrCr2Br crystal.

The value obtained for the total magnetic moment is 0.88 Bohr magnetons per cell. The value obtained for the uncorrected formation energy is 0.175 eV per atom. For the total energy, the calculation gives -5.48 eV/atom. The value obtained for the distance to the lowest polymorph of the same formula is 0.118 eV per atom.

The structure belongs to space group R3m (No. 160, hexagonal axes); the cell edges are 4.3122, 4.3122 and 21.3895 Å and the angles 90.00°, 90.00° and 120.00°. The inequivalent atoms are Sr at (0.0000, 0.0000, 0.0000), Cr at (0.0000, 0.0000, 0.4532), Cr at (0.0000, 0.0000, 0.7704) and Br at (0.0000, 0.0000, 0.2432).

DFT (GGA-PBE) results for a relaxed Nd6Si3S2Cl crystal.

The value obtained for the total magnetic moment is 0.00 Bohr magnetons per cell. The value obtained for the uncorrected formation energy is -1.304 eV per atom. For the total energy, the calculation gives -5.89 eV/atom.

The structure belongs to space group C2/m (No. 12); the cell edges are 18.311, 4.214 and 8.410 Å and the angles 90.00°, 102.89° and 90.00°. The inequivalent atoms are Nd at (0.000, 0.000, 0.236), Nd at (0.167, 0.500, 0.084), Nd at (0.172, 0.500, 0.585), Si at (0.000, 0.500, 0.000), Si at (0.164, 0.000, 0.333), S at (0.167, 0.000, 0.832) and Cl at (0.000, 0.500, 0.500).

DFT (GGA-PBE) results for a relaxed ZrCdTc2 crystal.

The value obtained for the total magnetic moment is 0.01 Bohr magnetons per cell. For the total energy, the calculation gives -7.25 eV/atom. The energy relative to the elements comes out at 0.30 eV/atom.

The structure belongs to space group I4/mmm (No. 139); the cell edges are 4.107, 4.107 and 8.355 Å and the angles 90.00°, 90.00° and 90.00°. The inequivalent atoms are Zr at (0.000, 0.000, 0.000), Cd at (0.000, 0.000, 0.500) and Tc at (0.000, 0.500, 0.250).

DFT (GGA-PBE) results for a relaxed LaSn2Pb2 crystal.

The value obtained for the total magnetic moment is 0.00 Bohr magnetons per cell. For the total energy, the calculation gives -4.24 eV/atom. The value obtained for the distance to the lowest polymorph of the same formula is 0.205 eV per atom. The energy relative to the elements comes out at -0.17 eV/atom.

The structure belongs to space group P4/mbm (No. 127); the cell edges are 8.598, 8.598 and 4.173 Å and the angles 90.00°, 90.00° and 90.00°. The inequivalent atoms are La at (0.000, 0.000, 0.000), Sn at (0.159, 0.341, 0.500) and Pb at (0.134, 0.634, 0.000).

DFT (GGA-PBE) results for a relaxed BeC crystal.

The value obtained for the total magnetic moment is 0.00 Bohr magnetons per cell. For the total energy, the calculation gives -6.15 eV/atom. The value obtained for the distance to the lowest polymorph of the same formula is 0.002 eV per atom. The energy relative to the elements comes out at 0.32 eV/atom.

The structure belongs to space group Cm (No. 8); the cell edges are 5.428, 2.896 and 4.985 Å and the angles 90.00°, 122.50° and 90.00°. The inequivalent atoms are Be at (0.000, 0.000, 0.000), Be at (0.087, 0.500, 0.537), C at (0.194, 0.000, 0.399) and C at (0.355, 0.000, 0.729).

DFT (GGA-PBE) results for a relaxed IrW crystal.

The value obtained for the total magnetic moment is 0.00 Bohr magnetons per cell. For the total energy, the calculation gives -11.11 eV/atom. The value obtained for the distance to the lowest polymorph of the same formula is 0.102 eV per atom. The energy relative to the elements comes out at -0.20 eV/atom.

The structure belongs to space group Cm (No. 8); the cell edges are 10.268, 2.780 and 6.612 Å and the angles 90.00°, 104.07° and 90.00°. The inequivalent atoms are Ir at (0.000, 0.000, 0.000), Ir at (0.060, 0.000, 0.611), Ir at (0.178, 0.500, 0.338), W at (0.218, 0.500, 0.949), W at (0.339, 0.000, 0.666) and W at (0.401, 0.000, 0.281).

DFT (GGA-PBE) results for a relaxed CeNiPt crystal.

The value obtained for the total magnetic moment is 2.52 Bohr magnetons per cell. For the total energy, the calculation gives -6.66 eV/atom. The energy relative to the elements comes out at -0.74 eV/atom.

The structure belongs to space group Imma (No. 74); the cell edges are 5.218, 5.472 and 7.416 Å and the angles 90.00°, 90.00° and 90.00°. The inequivalent atoms are Ce at (0.000, 0.250, 0.122), Ni at (0.250, 0.250, 0.750) and Pt at (0.000, 0.000, 0.500).

Question: Which value of total magnetic moment does entry 6 give?
Answer: 0.88 Bohr magnetons per cell

Question: Which value of total magnetic moment does entry 8 give?
Answer: 0.01 Bohr magnetons per cell

Question: Number 2 is which compound?
Answer: LiAlGa6